A relaxed structure of Y4SnRu. Source: the Alexandria database, functional PBE.

Cell lengths 7.4750, 7.0482, 6.8833 Å; angles 90.00, 91.97, 90.00 degrees
Space group P2_1/c (No. 14)
One atom of each set of equivalent atoms:
1 Y 0.1440 0.1617 0.1774 [4 per cell]
2 Y 0.3049 0.6494 0.1321 [4 per cell]
3 Sn 0.5000 0.0000 0.0000 [2 per cell]
4 Ru 0.0000 0.0000 0.5000 [2 per cell]

Computed properties:
Calculated formation energy in eV/atom: -0.317
Distance to the lowest polymorph of the same formula in meV/atom: 162.6
Energy in eV per cell: -82.07
Calculated density in kg/m³: 5273